1.
# NaNiTe2Pb

NaNiTe2Pb after structural relaxation (GGA-PBE, Alexandria via LeMat-Bulk).

Structure (CIF):
```
data_NaNiTe2Pb
_chemical_formula_sum 'Na1 Ni1 Te2 Pb1'
_cell_length_a 5.6156
_cell_length_b 5.6156
_cell_length_c 4.6653
_cell_angle_alpha 90.00
_cell_angle_beta 90.00
_cell_angle_gamma 90.00
_symmetry_space_group_name_H-M 'P 4/m m m'
_symmetry_Int_Tables_number 123
_symmetry_space_group_name_Hall '-P 4 2'
loop_
_atom_site_label
_atom_site_type_symbol
_atom_site_fract_x
_atom_site_fract_y
_atom_site_fract_z
_atom_site_occupancy
Na1 Na 0.0000 0.0000 0.0000 1
Ni1 Ni 0.0000 0.0000 0.5000 1
Te1 Te 0.0000 0.5000 0.0000 1
Pb1 Pb 0.5000 0.5000 0.5000 1
```

Values from the calculation:
The value obtained for the uncorrected energy is -14.01 eV for the cell shown. The raw formation energy is 0.615 eV/atom.


2.
# MnTeI2N

MnTeI2N after structural relaxation (GGA-PBE, Alexandria via LeMat-Bulk).

Structure (CIF):
```
data_MnTeI2N
_chemical_formula_sum 'Mn1 Te1 I2 N1'
_cell_length_a 5.2561
_cell_length_b 5.2561
_cell_length_c 4.8359
_cell_angle_alpha 90.00
_cell_angle_beta 90.00
_cell_angle_gamma 90.00
_symmetry_space_group_name_H-M 'P 4/m m m'
_symmetry_Int_Tables_number 123
_symmetry_space_group_name_Hall '-P 4 2'
loop_
_atom_site_label
_atom_site_type_symbol
_atom_site_fract_x
_atom_site_fract_y
_atom_site_fract_z
_atom_site_occupancy
Mn1 Mn 0.0000 0.0000 0.0000 1
Te1 Te 0.0000 0.0000 0.5000 1
I1 I 0.0000 0.5000 0.0000 1
N1 N 0.5000 0.5000 0.5000 1
```

Values from the calculation:
The value obtained for the uncorrected energy is -15.47 eV for the cell shown. For the energy relative to the lowest polymorph listed for this composition, the calculation gives 1167 meV/atom. The raw formation energy is 1.653 eV/atom.


3.
# EuPS2

EuPS2 after structural relaxation (GGA-PBE, Alexandria via LeMat-Bulk).

Structure (CIF):
```
data_EuPS2
_chemical_formula_sum 'Eu3 P3 S6'
_cell_length_a 3.6536
_cell_length_b 3.6536
_cell_length_c 24.7528
_cell_angle_alpha 90.00
_cell_angle_beta 90.00
_cell_angle_gamma 120.00
_symmetry_space_group_name_H-M 'R -3 m'
_symmetry_Int_Tables_number 166
_symmetry_space_group_name_Hall '-R 3 2"'
loop_
_atom_site_label
_atom_site_type_symbol
_atom_site_fract_x
_atom_site_fract_y
_atom_site_fract_z
_atom_site_occupancy
Eu1 Eu 0.0000 0.0000 0.0000 1
P1 P 0.0000 0.0000 0.5000 1
S1 S 0.0000 0.0000 0.1135 1
```

Values from the calculation:
The value obtained for the uncorrected energy is -74.42 eV for the cell shown. The raw formation energy is -0.217 eV/atom.